Here is a geometry-optimized Rb3SI structure from Alexandria. Energies are from PBE.

Structure (POSCAR):
```
Rb3SI
1.0
6.348 0.000 0.000
0.000 6.348 0.000
0.000 0.000 6.348
Rb S I
3 1 1
Direct
0.000 0.000 0.500
0.000 0.500 0.000
0.500 0.000 0.000
0.000 0.000 0.000
0.500 0.500 0.500
```

Properties
energy	-14.22	eV/cell
polymorph energy (0 for the lowest one)	52	meV/atom
Fermi-level density of states	0.000	states/eV/cell
formation energy (no corrections)	-5.64	eV/f.u.